# 1
Crystalline LiPmGaPt3 at its relaxed geometry. Source: Alexandria, functional GGA-PBE.

a = 5.786 Å, b = 5.724 Å, c = 7.089 Å
α = 113.81°, β = 90.00°, γ = 90.00°
Fractional coordinates of all 12 atoms:
Li (0.250, 0.882, 0.764)
Li (0.750, 0.118, 0.236)
Pm (0.750, 0.330, 0.659)
Pm (0.250, 0.670, 0.341)
Ga (0.250, 0.382, 0.763)
Ga (0.750, 0.618, 0.237)
Pt (0.250, 0.188, 0.376)
Pt (0.000, 0.238, 0.000)
Pt (0.500, 0.762, 0.000)
Pt (0.500, 0.238, 0.000)
Pt (0.000, 0.762, 0.000)
Pt (0.750, 0.812, 0.624)

Properties
SG	Cmcm
E_form	-0.713	eV per atom

=====

# 2
Crystalline LiPmGa2Pt4 at its relaxed geometry. Source: Alexandria, functional GGA-PBE.

a = 4.311 Å, b = 4.311 Å, c = 8.845 Å
α = 75.89°, β = 75.89°, γ = 60.00°
Fractional coordinates of all 8 atoms:
Li (0.500, 0.500, 0.500)
Pm (0.000, 0.000, 0.000)
Ga (0.762, 0.762, 0.714)
Ga (0.238, 0.238, 0.286)
Pt (0.404, 0.404, 0.788)
Pt (0.867, 0.867, 0.398)
Pt (0.133, 0.133, 0.602)
Pt (0.596, 0.596, 0.212)

Properties
SG	R-3m
E_form	-0.845	eV per atom

=====

# 3
Crystalline LiPmGaPt2 at its relaxed geometry. Source: Alexandria, functional GGA-PBE.

a = 3.898 Å, b = 3.898 Å, c = 6.785 Å
α = 106.69°, β = 106.69°, γ = 90.00°
Fractional coordinates of all 5 atoms:
Li (0.750, 0.250, 0.500)
Pm (0.000, 0.000, 0.000)
Ga (0.250, 0.750, 0.500)
Pt (0.612, 0.612, 0.224)
Pt (0.388, 0.388, 0.776)

Properties
SG	I-4m2
E_form	-0.918	eV per atom

=====

# 4
Crystalline LiPmGa2Pt2 at its relaxed geometry. Source: Alexandria, functional GGA-PBE.

a = 4.389 Å, b = 4.389 Å, c = 6.652 Å
α = 90.00°, β = 90.00°, γ = 120.00°
Fractional coordinates of all 6 atoms:
Li (0.000, 0.000, 0.500)
Pm (0.000, 0.000, 0.000)
Ga (0.667, 0.333, 0.681)
Ga (0.333, 0.667, 0.319)
Pt (0.667, 0.333, 0.283)
Pt (0.333, 0.667, 0.717)

Properties
SG	P-3m1
E_form	-0.906	eV per atom

=====

# 5
Crystalline LiPmPuGa at its relaxed geometry. Source: Alexandria, functional GGA-PBE.

a = 5.163 Å, b = 5.163 Å, c = 5.163 Å
α = 60.00°, β = 60.00°, γ = 60.00°
Site moments in Bohr magnetons follow the coordinates.
Fractional coordinates of all 4 atoms:
Pm (0.500, 0.500, 0.500)  0.21
Li (0.250, 0.250, 0.250)  0.05
Ga (0.750, 0.750, 0.750)  -0.05
Pu (0.000, 0.000, 0.000)  5.50

Properties
SG	F-43m
E_form	-0.090	eV per atom

=====

# 6
Crystalline LiPm2Ga3Rh4 at its relaxed geometry. Source: Alexandria, functional GGA-PBE.

a = 4.213 Å, b = 4.213 Å, c = 10.316 Å
α = 90.00°, β = 90.00°, γ = 90.00°
Fractional coordinates of all 10 atoms:
Li (0.500, 0.500, 0.500)
Pm (0.500, 0.000, 0.245)
Pm (0.000, 0.500, 0.755)
Ga (0.000, 0.000, 0.500)
Ga (0.500, 0.000, 0.874)
Ga (0.000, 0.500, 0.126)
Rh (0.500, 0.500, 0.000)
Rh (0.000, 0.000, 0.000)
Rh (0.500, 0.000, 0.634)
Rh (0.000, 0.500, 0.366)

Properties
SG	P-4m2
E_form	-0.731	eV per atom

=====

# 7
Crystalline Li2Pm2GaRh5 at its relaxed geometry. Source: Alexandria, functional GGA-PBE.

a = 3.669 Å, b = 9.381 Å, c = 9.381 Å
α = 90.00°, β = 90.00°, γ = 90.00°
Fractional coordinates of all 20 atoms:
Li (0.000, 0.119, 0.619)
Li (0.000, 0.881, 0.381)
Li (0.000, 0.619, 0.881)
Li (0.000, 0.381, 0.119)
Pm (0.000, 0.679, 0.179)
Pm (0.000, 0.321, 0.821)
Pm (0.000, 0.179, 0.321)
Pm (0.000, 0.821, 0.679)
Ga (0.000, 0.000, 0.000)
Ga (0.000, 0.500, 0.500)
Rh (0.500, 0.203, 0.066)
Rh (0.500, 0.797, 0.934)
Rh (0.500, 0.066, 0.797)
Rh (0.500, 0.703, 0.434)
Rh (0.500, 0.934, 0.203)
Rh (0.500, 0.297, 0.566)
Rh (0.500, 0.566, 0.703)
Rh (0.500, 0.434, 0.297)
Rh (0.500, 0.500, 0.000)
Rh (0.500, 0.000, 0.500)

Properties
SG	P4/mbm
E_form	-0.484	eV per atom

=====

# 8
Crystalline LiPmGaRh at its relaxed geometry. Source: Alexandria, functional GGA-PBE.

a = 4.689 Å, b = 4.689 Å, c = 4.689 Å
α = 60.00°, β = 60.00°, γ = 60.00°
Fractional coordinates of all 4 atoms:
Li (0.500, 0.500, 0.500)
Rh (0.000, 0.000, 0.000)
Ga (0.250, 0.250, 0.250)
Pm (0.750, 0.750, 0.750)

Properties
SG	F-43m
E_form	-0.501	eV per atom

=====

# 9
Crystalline LiPmGaRu at its relaxed geometry. Source: Alexandria, functional GGA-PBE.

a = 4.676 Å, b = 4.676 Å, c = 4.676 Å
α = 60.00°, β = 60.00°, γ = 60.00°
Fractional coordinates of all 4 atoms:
Ru (0.000, 0.000, 0.000)
Li (0.500, 0.500, 0.500)
Ga (0.750, 0.750, 0.750)
Pm (0.250, 0.250, 0.250)

Properties
SG	F-43m
E_form	-0.236	eV per atom

=====

# 10
Crystalline Li2PmGa4Ru at its relaxed geometry. Source: Alexandria, functional GGA-PBE.

a = 4.248 Å, b = 4.248 Å, c = 9.351 Å
α = 76.87°, β = 76.87°, γ = 60.00°
Fractional coordinates of all 8 atoms:
Li (0.771, 0.771, 0.688)
Li (0.229, 0.229, 0.312)
Pm (0.000, 0.000, 0.000)
Ga (0.404, 0.404, 0.787)
Ga (0.869, 0.869, 0.392)
Ga (0.131, 0.131, 0.608)
Ga (0.596, 0.596, 0.213)
Ru (0.500, 0.500, 0.500)

Properties
SG	R-3m
E_form	-0.389	eV per atom

=====

# 11
Crystalline LiPm2GaS5 at its relaxed geometry. Source: Alexandria, functional GGA-PBE.

a = 3.847 Å, b = 8.697 Å, c = 11.357 Å
α = 90.00°, β = 90.00°, γ = 102.78°
Fractional coordinates of all 18 atoms:
Li (0.785, 0.571, 0.519)
Li (0.215, 0.429, 0.019)
Pm (0.866, 0.733, 0.804)
Pm (0.122, 0.243, 0.682)
Pm (0.134, 0.267, 0.304)
Pm (0.878, 0.757, 0.182)
Ga (0.567, 0.134, 0.954)
Ga (0.433, 0.866, 0.454)
S (0.358, 0.715, 0.000)
S (0.684, 0.369, 0.853)
S (0.499, 0.999, 0.780)
S (0.292, 0.584, 0.668)
S (0.956, 0.912, 0.564)
S (0.642, 0.285, 0.500)
S (0.316, 0.631, 0.353)
S (0.501, 0.001, 0.280)
S (0.708, 0.416, 0.168)
S (0.044, 0.088, 0.064)

Properties
SG	Cmc2_1
raw formation energy	-1567	meV/atom

=====

# 12
Crystalline Li2PmGaS4 at its relaxed geometry. Source: Alexandria, functional GGA-PBE.

a = 7.621 Å, b = 7.621 Å, c = 7.941 Å
α = 121.40°, β = 121.40°, γ = 89.67°
Fractional coordinates of all 16 atoms:
Li (0.500, 0.000, 0.000)
Li (0.500, 0.000, 0.500)
Li (0.000, 0.000, 0.500)
Li (0.500, 0.500, 0.000)
Pm (0.000, 0.500, 0.000)
Pm (0.000, 0.500, 0.500)
Ga (0.500, 0.500, 0.500)
Ga (0.000, 0.000, 0.000)
S (0.269, 0.755, 0.012)
S (0.745, 0.231, 0.488)
S (0.255, 0.769, 0.512)
S (0.731, 0.245, 0.988)
S (0.740, 0.760, 0.961)
S (0.740, 0.760, 0.539)
S (0.260, 0.240, 0.461)
S (0.260, 0.240, 0.039)

Properties
SG	Imma
raw formation energy	-1263	meV/atom

=====

# 13
Crystalline LiPmGaSb at its relaxed geometry. Source: Alexandria, functional GGA-PBE.

a = 5.147 Å, b = 5.147 Å, c = 5.147 Å
α = 60.00°, β = 60.00°, γ = 60.00°
Fractional coordinates of all 4 atoms:
Sb (0.000, 0.000, 0.000)
Li (0.250, 0.250, 0.250)
Ga (0.500, 0.500, 0.500)
Pm (0.750, 0.750, 0.750)

Properties
SG	F-43m
raw formation energy	-454	meV/atom

=====

# 14
Crystalline LiPmScGa at its relaxed geometry. Source: Alexandria, functional GGA-PBE.

a = 5.016 Å, b = 5.016 Å, c = 5.016 Å
α = 60.00°, β = 60.00°, γ = 60.00°
Fractional coordinates of all 4 atoms:
Sc (0.500, 0.500, 0.500)
Li (0.750, 0.750, 0.750)
Ga (0.250, 0.250, 0.250)
Pm (0.000, 0.000, 0.000)

Properties
SG	F-43m
E_form	-0.303	eV per atom

=====

# 15
Crystalline Li2PmGaSe4 at its relaxed geometry. Source: Alexandria, functional GGA-PBE.

a = 7.993 Å, b = 7.993 Å, c = 8.266 Å
α = 121.14°, β = 121.14°, γ = 90.02°
Fractional coordinates of all 16 atoms:
Li (0.500, 0.000, 0.000)
Li (0.500, 0.000, 0.500)
Li (0.000, 0.000, 0.500)
Li (0.500, 0.500, 0.000)
Pm (0.000, 0.500, 0.000)
Pm (0.000, 0.500, 0.500)
Ga (0.500, 0.500, 0.500)
Ga (0.000, 0.000, 0.000)
Se (0.272, 0.753, 0.012)
Se (0.747, 0.228, 0.488)
Se (0.253, 0.772, 0.512)
Se (0.728, 0.247, 0.988)
Se (0.740, 0.760, 0.965)
Se (0.740, 0.760, 0.535)
Se (0.260, 0.240, 0.465)
Se (0.260, 0.240, 0.035)

Properties
SG	Imma
raw formation energy	-1155	meV/atom

=====

# 16
Crystalline Li2PmSm2Ga2 at its relaxed geometry. Source: Alexandria, functional GGA-PBE.

a = 4.678 Å, b = 4.678 Å, c = 9.272 Å
α = 75.39°, β = 75.39°, γ = 60.00°
Fractional coordinates of all 7 atoms:
Li (0.604, 0.604, 0.188)
Li (0.396, 0.396, 0.812)
Pm (0.000, 0.000, 0.000)
Sm (0.126, 0.126, 0.621)
Sm (0.874, 0.874, 0.379)
Ga (0.738, 0.738, 0.786)
Ga (0.262, 0.262, 0.214)

Properties
SG	R-3m
E_form	-0.286	eV per atom

=====

# 17
Crystalline SrLi2Pm2Ga2 at its relaxed geometry. Source: Alexandria, functional GGA-PBE.

a = 4.777 Å, b = 4.777 Å, c = 9.828 Å
α = 75.93°, β = 75.93°, γ = 60.00°
Fractional coordinates of all 7 atoms:
Sr (0.000, 0.000, 0.000)
Li (0.592, 0.592, 0.223)
Li (0.408, 0.408, 0.777)
Pm (0.129, 0.129, 0.613)
Pm (0.871, 0.871, 0.387)
Ga (0.749, 0.749, 0.752)
Ga (0.251, 0.251, 0.248)

Properties
SG	R-3m
E_form	-0.258	eV per atom

=====

# 18
Crystalline Li2Tb2PmGa2 at its relaxed geometry. Source: Alexandria, functional GGA-PBE.

a = 4.652 Å, b = 4.652 Å, c = 9.201 Å
α = 75.36°, β = 75.36°, γ = 60.00°
Fractional coordinates of all 7 atoms:
Li (0.600, 0.600, 0.201)
Li (0.400, 0.400, 0.799)
Tb (0.127, 0.127, 0.619)
Tb (0.873, 0.873, 0.381)
Pm (0.000, 0.000, 0.000)
Ga (0.741, 0.741, 0.778)
Ga (0.259, 0.259, 0.222)

Properties
SG	R-3m
E_form	-0.284	eV per atom

=====

# 19
Crystalline LiTbPmGa at its relaxed geometry. Source: Alexandria, functional GGA-PBE.

a = 5.172 Å, b = 5.172 Å, c = 5.172 Å
α = 60.00°, β = 60.00°, γ = 60.00°
Fractional coordinates of all 4 atoms:
Li (0.750, 0.750, 0.750)
Tb (0.000, 0.000, 0.000)
Ga (0.250, 0.250, 0.250)
Pm (0.500, 0.500, 0.500)

Properties
SG	F-43m
E_form	-0.305	eV per atom

=====

# 20
Crystalline LiPmTlGa at its relaxed geometry. Source: Alexandria, functional GGA-PBE.

a = 5.104 Å, b = 5.104 Å, c = 5.104 Å
α = 60.00°, β = 60.00°, γ = 60.00°
Fractional coordinates of all 4 atoms:
Tl (0.750, 0.750, 0.750)
Li (0.500, 0.500, 0.500)
Ga (0.250, 0.250, 0.250)
Pm (0.000, 0.000, 0.000)

Properties
SG	F-43m
E_form	-0.366	eV per atom

=====

# 21
Crystalline Li2Pm4TlGa at its relaxed geometry. Source: Alexandria, functional GGA-PBE.

a = 5.314 Å, b = 5.314 Å, c = 9.234 Å
α = 73.28°, β = 73.28°, γ = 60.00°
Fractional coordinates of all 8 atoms:
Li (0.747, 0.747, 0.759)
Li (0.253, 0.253, 0.241)
Pm (0.380, 0.380, 0.861)
Pm (0.870, 0.870, 0.389)
Pm (0.130, 0.130, 0.611)
Pm (0.620, 0.620, 0.139)
Tl (0.000, 0.000, 0.000)
Ga (0.500, 0.500, 0.500)

Properties
SG	R-3m
E_form	-0.252	eV per atom

=====

# 22
Crystalline Li2PmTm2Ga2 at its relaxed geometry. Source: Alexandria, functional GGA-PBE.

a = 4.630 Å, b = 4.630 Å, c = 9.077 Å
α = 75.22°, β = 75.22°, γ = 60.00°
Fractional coordinates of all 7 atoms:
Li (0.595, 0.595, 0.214)
Li (0.405, 0.405, 0.786)
Pm (0.000, 0.000, 0.000)
Tm (0.128, 0.128, 0.616)
Tm (0.872, 0.872, 0.384)
Ga (0.743, 0.743, 0.771)
Ga (0.257, 0.257, 0.229)

Properties
SG	R-3m
E_form	-0.279	eV per atom

=====

# 23
Crystalline LiPmYGa at its relaxed geometry. Source: Alexandria, functional GGA-PBE.

a = 5.170 Å, b = 5.170 Å, c = 5.170 Å
α = 60.00°, β = 60.00°, γ = 60.00°
Fractional coordinates of all 4 atoms:
Y (0.750, 0.750, 0.750)
Li (0.500, 0.500, 0.500)
Ga (0.000, 0.000, 0.000)
Pm (0.250, 0.250, 0.250)

Properties
SG	F-43m
E_form	-0.321	eV per atom

=====

# 24
Crystalline Li2PmY2Ga2 at its relaxed geometry. Source: Alexandria, functional GGA-PBE.

a = 4.638 Å, b = 4.638 Å, c = 9.294 Å
α = 75.55°, β = 75.55°, γ = 60.00°
Fractional coordinates of all 7 atoms:
Li (0.599, 0.599, 0.203)
Li (0.401, 0.401, 0.797)
Pm (0.000, 0.000, 0.000)
Y (0.127, 0.127, 0.620)
Y (0.873, 0.873, 0.380)
Ga (0.741, 0.741, 0.778)
Ga (0.259, 0.259, 0.222)

Properties
SG	R-3m
E_form	-0.292	eV per atom

=====

V for the records above, in order: 17.90, 17.08, 18.84, 18.50, 24.33, 18.31, 16.14, 18.23, 18.07, 17.63, 20.59, 19.55, 24.10, 22.31, 22.51, 24.01, 26.63, 23.57, 24.46, 23.51, 26.63, 23.00, 24.43, 23.68 Å³/atom